BaCdSb2 | GGA-PBEsol | relaxed

Values from the calculation:
ΔE_f (raw) (eV per atom): -0.326

```
data_BaCdSb2
_space_group_name_H-M_alt 'P 4 m m'
_space_group_IT_number 99
_space_group_name_Hall 'P 4 -2'
_cell_length_a 4.0788
_cell_length_b 4.0788
_cell_length_c 7.3098
_cell_angle_alpha 90.00
_cell_angle_beta 90.00
_cell_angle_gamma 90.00
loop_
_atom_site_label
_atom_site_type_symbol
_atom_site_fract_x
_atom_site_fract_y
_atom_site_fract_z
_atom_site_occupancy
Ba1 Ba 0.0000 0.0000 0.0000 1
Cd1 Cd 0.5000 0.5000 0.2888 1
Sb1 Sb 0.0000 0.0000 0.5173 1
Sb2 Sb 0.5000 0.5000 0.6885 1
```